LiZnCo4O8 | PBE+U | optimized geometry

a = 2.9036 Å, b = 7.0023 Å, c = 7.4363 Å
α = 75.18°, β = 78.90°, γ = 78.11°
Last column: nearest neighbours and their distance in Å.
Positions (direct):
Li 0.0000 0.0000 0.0000  5 O 2.04-2.08
Zn 0.7996 0.0820 0.3249  5 O 1.96-2.19
Co 0.1021 0.1223 0.6723  6 O 1.88-1.95
Co 0.3256 0.3834 0.9686  6 O 1.83-1.96
Co 0.5360 0.5134 0.3533  4 O 1.81-1.92
Co 0.7877 0.7590 0.6617  6 O 1.87-1.98
O 0.2700 0.9256 0.5286  3 Co 1.88-1.96
O 0.2920 0.6207 0.7934  3 Co 1.83-1.88
O 0.3732 0.1193 0.1393  1 Co 1.95, 2 Zn 1.96, 2 Li 2.04-2.05
O 0.6141 0.2531 0.5190  3 Co 1.92-1.93, 1 Zn 2.03
O 0.6159 0.9606 0.8074  3 Co 1.92-1.95, 2 Li 2.08
O 0.7118 0.4699 0.1128  3 Co 1.85-1.96
O 0.9312 0.2916 0.8472  3 Co 1.88-1.91, 1 Li 2.06
O 0.9559 0.6382 0.4388  3 Co 1.81-1.98

Properties
**Symmetry**: P1
**Calculated volume**: 141.5 Å³ per cell
**D(E_F)**: 1.4 states/eV/f.u.
**Polymorph energy (0 for the lowest one)**: 0.000 eV per atom
**ρ**: 5.12 g/cm3